Crystalline Sc4Ge6Ir7 at its relaxed geometry. Source: OQMD via LeMat-Bulk, functional PBE-GGA.

a b c (Å): 7.098 7.098 7.098
angles (deg): 109.47 109.47 109.47
Atoms (fractional coordinates):
Sc 0.000 0.000 0.500
Sc 0.000 0.500 0.000
Sc 0.500 0.000 0.000
Sc 0.500 0.500 0.500
Ge 0.000 0.312 0.312
Ge 0.000 0.688 0.688
Ge 0.312 0.000 0.312
Ge 0.312 0.312 0.000
Ge 0.688 0.000 0.688
Ge 0.688 0.688 0.000
Ir 0.000 0.000 0.000
Ir 0.250 0.500 0.750
Ir 0.250 0.750 0.500
Ir 0.500 0.250 0.750
Ir 0.500 0.750 0.250
Ir 0.750 0.250 0.500
Ir 0.750 0.500 0.250

Properties
electronic total energy	-129.565	eV for the cell shown
symmetry	Im-3m, No. 229

***

Crystalline NaZnCo at its relaxed geometry. Source: OQMD via LeMat-Bulk, functional PBE-GGA.

a b c (Å): 4.340 4.340 4.340
angles (deg): 60.00 60.00 60.00
Atoms (fractional coordinates):
Na 0.000 0.000 0.000
Zn 0.750 0.750 0.750
Co 0.500 0.500 0.500

Properties
electronic total energy	-7.373	eV for the cell shown
energy relative to the lowest polymorph listed for this composition	0	meV/atom
symmetry	F-43m, No. 216

***

Crystalline La2Dy2CCl5 at its relaxed geometry. Source: OQMD via LeMat-Bulk, functional PBE-GGA.

a b c (Å): 9.025 9.025 7.886
angles (deg): 105.43 105.43 24.16
Atoms (fractional coordinates):
La 0.152 0.152 0.096
La 0.848 0.848 0.904
Dy 0.499 0.499 0.209
Dy 0.501 0.501 0.791
C 0.000 0.000 0.000
Cl 0.000 0.000 0.500
Cl 0.338 0.338 0.180
Cl 0.343 0.343 0.629
Cl 0.657 0.657 0.371
Cl 0.662 0.662 0.820

Properties
electronic total energy	-54.702	eV for the cell shown
energy relative to the lowest polymorph listed for this composition	0	meV/atom
symmetry	C2/m, No. 12

***

Crystalline PmSbN2O at its relaxed geometry. Source: OQMD via LeMat-Bulk, functional PBE-GGA.

a b c (Å): 5.709 3.945 5.771
angles (deg): 90.00 90.00 90.00
Atoms (fractional coordinates):
Pm 0.250 0.000 0.236
Pm 0.750 0.000 0.764
Sb 0.250 0.500 0.740
Sb 0.750 0.500 0.260
N 0.000 0.500 0.500
N 0.250 0.000 0.813
N 0.500 0.500 0.500
N 0.750 0.000 0.187
O 0.000 0.500 0.000
O 0.500 0.500 0.000

Properties
electronic total energy	-68.520	eV for the cell shown
symmetry	Pmma, No. 51

***

Crystalline SmSiAg at its relaxed geometry. Source: OQMD via LeMat-Bulk, functional PBE-GGA.

a b c (Å): 4.808 4.808 4.808
angles (deg): 60.00 60.00 60.00
Atoms (fractional coordinates):
Sm 0.000 0.000 0.000
Si 0.250 0.250 0.250
Ag 0.750 0.750 0.750

Properties
electronic total energy	-12.492	eV for the cell shown
symmetry	F-43m, No. 216

***

Crystalline DyMg at its relaxed geometry. Source: OQMD via LeMat-Bulk, functional PBE-GGA.

a b c (Å): 5.507 10.288 5.822
angles (deg): 90.00 90.00 90.00
Atoms (fractional coordinates):
Dy 0.000 0.073 0.000
Dy 0.000 0.263 0.522
Dy 0.000 0.737 0.022
Dy 0.000 0.927 0.500
Dy 0.500 0.255 0.161
Dy 0.500 0.745 0.661
Mg 0.000 0.418 0.009
Mg 0.000 0.582 0.509
Mg 0.500 0.087 0.655
Mg 0.500 0.422 0.677
Mg 0.500 0.578 0.177
Mg 0.500 0.913 0.155

Properties
electronic total energy	-36.659	eV for the cell shown
symmetry	Pmc2_1, No. 26